DFT (PBE) results for YSc2Sb after structural relaxation.

```
YSc2Sb
1.0
4.606 0.000 0.000
0.000 4.606 0.000
0.000 0.000 4.611
Y Sc Sb
1 2 1
direct
0.000 0.000 0.000
0.000 0.500 0.500
0.500 0.000 0.500
0.500 0.500 0.000
```

The calculated volume comes out at 98 Å³/cell. Its theoretical density is 5.10 g/cm³. The calculation puts the uncorrected formation energy at -0.457 eV/atom.

DFT (PBE) results for YSc2Sb after structural relaxation.

```
YSc2Sb
1.0
-4.273 4.273 3.092
4.273 -4.273 3.092
4.273 4.273 -3.092
Y Sc Sb
2 4 2
direct
0.000 0.000 0.000
0.750 0.250 0.500
0.169 0.625 0.044
0.375 0.419 0.544
0.581 0.125 0.956
0.875 0.831 0.456
0.250 0.750 0.500
0.500 0.500 0.000
```

The calculated volume comes out at 226 Å³/cell. Its theoretical density is 4.42 g/cm³. The calculation puts the uncorrected formation energy at -0.145 eV/atom.

DFT (PBE) results for YSc2Sb after structural relaxation.

```
YSc2Sb
1.0
1.925 1.111 8.903
-1.925 1.111 8.903
0.000 -2.222 8.903
Y Sc Sb
1 2 1
direct
0.000 0.000 0.000
0.235 0.235 0.235
0.434 0.434 0.434
0.836 0.836 0.836
```

The calculated volume comes out at 114 Å³/cell. Its theoretical density is 4.37 g/cm³. The calculation puts the uncorrected formation energy at -0.261 eV/atom.

DFT (PBE) results for YSc3Sb after structural relaxation.

```
YSc3Sb
1.0
5.396 0.000 0.000
0.000 5.396 0.000
0.000 0.000 5.396
Y Sc Sb
1 3 1
direct
0.000 0.000 0.000
0.000 0.500 0.500
0.500 0.000 0.500
0.500 0.500 0.000
0.500 0.500 0.500
```

The calculated volume comes out at 157 Å³/cell. As for the polymorph energy (0 for the lowest one): 0 meV/atom. Its theoretical density is 3.65 g/cm³. The calculation puts the uncorrected formation energy at 0.111 eV/atom.

DFT (PBE) results for YScSb4 after structural relaxation.

```
YScSb4
1.0
0.000 4.397 4.397
4.397 0.000 4.397
4.397 4.397 0.000
Y Sc Sb
1 1 4
direct
0.000 0.000 0.000
0.250 0.250 0.250
0.126 0.625 0.625
0.625 0.126 0.625
0.625 0.625 0.126
0.625 0.625 0.625
```

The calculated volume comes out at 170 Å³/cell. Its theoretical density is 6.07 g/cm³. The calculation puts the uncorrected formation energy at 0.005 eV/atom.

DFT (PBE) results for YSc2Sb after structural relaxation.

```
YSc2Sb
1.0
-2.219 2.219 5.097
2.219 -2.219 5.097
2.219 2.219 -5.097
Y Sc Sb
1 2 1
direct
0.000 0.000 0.000
0.250 0.750 0.500
0.750 0.250 0.500
0.500 0.500 0.000
```

The calculated volume comes out at 100 Å³/cell. Its theoretical density is 4.97 g/cm³. The calculation puts the uncorrected formation energy at -0.460 eV/atom.

DFT (PBE) results for YScSb2 after structural relaxation.

```
YScSb2
1.0
4.275 0.000 0.000
0.000 6.075 0.000
0.000 0.000 8.546
Y Sc Sb
2 2 4
direct
0.250 0.250 0.127
0.750 0.750 0.873
0.250 0.250 0.624
0.750 0.750 0.376
0.250 0.750 0.136
0.250 0.750 0.613
0.750 0.250 0.387
0.750 0.250 0.864
```

The calculated volume comes out at 222 Å³/cell. As for the polymorph energy (0 for the lowest one): 5 meV/atom. Its theoretical density is 5.65 g/cm³. The calculation puts the uncorrected formation energy at -1.039 eV/atom.

DFT (PBE) results for Y2ScSb2 after structural relaxation.

```
Y2ScSb2
1.0
7.957 0.000 0.000
0.000 7.957 0.000
0.000 0.000 4.231
Y Sc Sb
4 2 4
direct
0.157 0.343 0.000
0.343 0.843 0.000
0.657 0.157 0.000
0.843 0.657 0.000
0.000 0.000 0.500
0.500 0.500 0.500
0.149 0.649 0.500
0.351 0.149 0.500
0.649 0.851 0.500
0.851 0.351 0.500
```

The calculated volume comes out at 268 Å³/cell. As for the polymorph energy (0 for the lowest one): 0 meV/atom. Its theoretical density is 5.78 g/cm³. The calculation puts the uncorrected formation energy at -0.934 eV/atom.

DFT (PBE) results for YSc5Sb6 after structural relaxation.

```
YSc5Sb6
1.0
3.638 -6.309 0.000
3.638 6.309 0.000
-2.435 0.000 6.865
Y Sc Sb
1 5 6
direct
0.000 0.000 0.000
0.162 0.838 0.500
0.332 0.668 0.000
0.500 0.500 0.500
0.668 0.332 0.000
0.838 0.162 0.500
0.086 0.428 0.257
0.259 0.259 0.748
0.428 0.086 0.257
0.572 0.914 0.743
0.741 0.741 0.252
0.914 0.572 0.743
```

The calculated volume comes out at 315 Å³/cell. Its theoretical density is 5.50 g/cm³. The calculation puts the uncorrected formation energy at -0.968 eV/atom.

DFT (PBE) results for Y4ScSb after structural relaxation.

```
Y4ScSb
1.0
0.000 4.512 4.512
4.512 0.000 4.512
4.512 4.512 0.000
Y Sc Sb
4 1 1
direct
0.376 0.376 0.376
0.376 0.376 0.872
0.376 0.872 0.376
0.872 0.376 0.376
0.750 0.750 0.750
0.000 0.000 0.000
```

The calculated volume comes out at 184 Å³/cell. Its theoretical density is 4.72 g/cm³. The calculation puts the uncorrected formation energy at 0.221 eV/atom.

DFT (PBE) results for YSc2Sb after structural relaxation.

```
YSc2Sb
1.0
2.023 -5.830 0.000
2.023 5.830 0.000
0.000 0.000 8.855
Y Sc Sb
2 4 2
direct
0.052 0.948 0.750
0.948 0.052 0.250
0.363 0.637 0.548
0.363 0.637 0.952
0.637 0.363 0.048
0.637 0.363 0.452
0.238 0.762 0.250
0.762 0.238 0.750
```

The calculated volume comes out at 209 Å³/cell. Its theoretical density is 4.78 g/cm³. The calculation puts the uncorrected formation energy at -0.576 eV/atom.

DFT (PBE) results for YScSb2 after structural relaxation.

```
YScSb2
1.0
5.177 0.000 0.000
0.000 5.177 0.000
0.000 0.000 3.841
Y Sc Sb
1 1 2
direct
0.000 0.000 0.000
0.500 0.500 0.000
0.000 0.500 0.500
0.500 0.000 0.500
```

The calculated volume comes out at 103 Å³/cell. As for the polymorph energy (0 for the lowest one): 346 meV/atom. Its theoretical density is 6.09 g/cm³. The calculation puts the uncorrected formation energy at -0.698 eV/atom.